BaGaF2 | GGA-PBE | relaxed

Calculated values
size of the total moment = 0.217 μB per atom
offset from the most stable computed form = 1.213 eV/f.u.
ΔE_f (raw) = -209.1 kJ/mol of atoms

Cell lengths 5.164, 5.164, 5.164 Å; angles 51.59, 51.59, 51.59 degrees
Element x y z (fractional)
Ba 0.000 0.000 0.000
Ga 0.500 0.500 0.500
F 0.780 0.780 0.780
F 0.220 0.220 0.220